DFT (PBE) results for a relaxed Tb3MnPd12 crystal.

## Properties
SG   P4/mmm, No. 123
V   272 Å³/cell
Formation enthalpy at 0 K   -0.692 eV per atom
DOS(E_F)   13.415 states/eV/cell

Structure (extended XYZ):
```
16
Lattice="4.094 0.000 0.000 0.000 4.094 0.000 0.000 0.000 16.237" Properties=species:S:1:pos:R:3 pbc="T T T"
Pd 2.047 2.047 12.293
Tb 0.000 0.000 12.290
Pd 0.000 2.047 6.032
Tb 0.000 0.000 8.118
Pd 2.047 0.000 14.385
Pd 2.047 2.047 0.000
Pd 2.047 2.047 8.118
Pd 2.047 0.000 1.852
Pd 0.000 2.047 10.205
Pd 2.047 0.000 10.205
Pd 0.000 2.047 1.852
Pd 2.047 0.000 6.032
Pd 0.000 2.047 14.385
Mn 0.000 0.000 0.000
Pd 2.047 2.047 3.944
Tb 0.000 0.000 3.946
```